No. 1
CeIn3Pd3, relaxed, DFT GGA-PBE; energy above the lowest structure with this stoichiometry = 0 meV per atom; calculated formation energy = -3.23 eV/f.u.
1.0
8.1862 0.0000 0.0000
4.0931 7.0894 0.0000
4.0931 2.3631 5.5457
In Pd Ce
6 6 2
direct
0.1299 0.4297 0.6390 In
0.4297 0.8014 0.6390 In
0.8014 0.1299 0.6390 In
0.1986 0.8701 0.3610 In
0.8701 0.5703 0.3610 In
0.5703 0.1986 0.3610 In
0.3579 0.0450 0.8537 Pd
0.9550 0.2567 0.1463 Pd
0.6421 0.9550 0.1463 Pd
0.0450 0.7433 0.8537 Pd
0.2567 0.6421 0.1463 Pd
0.7433 0.3579 0.8537 Pd
0.3294 0.3294 0.0119 Ce
0.6706 0.6706 0.9881 Ce

=====

No. 2
Ce3In7Pd4, relaxed, DFT GGA-PBE; calculated formation energy = -7.87 eV/f.u.
1.0
4.4389 0.0000 1.1198
1.6061 7.9807 2.9914
0.0514 0.1612 9.1540
Pd In Ce
4 7 3
direct
0.3386 0.5475 0.7754 Pd
0.6614 0.4525 0.2246 Pd
0.1190 0.1040 0.6581 Pd
0.8810 0.8960 0.3419 Pd
0.4959 0.2201 0.7881 In
0.8393 0.3918 0.9296 In
0.5041 0.7799 0.2119 In
0.6823 0.1649 0.4705 In
0.3177 0.8351 0.5295 In
0.0000 0.0000 0.0000 In
0.1607 0.6082 0.0704 In
0.6907 0.8148 0.8038 Ce
0.3093 0.1852 0.1962 Ce
0.0000 0.5000 0.5000 Ce

=====

No. 3
Ce3InPd6, relaxed, DFT GGA-PBE; calculated formation energy = -3.48 eV/f.u.
1.0
-2.9996 1.0504 -5.1865
0.2332 -6.8112 0.8637
-3.5171 3.0771 5.0353
Pd Ce In
6 3 1
direct
0.9983 0.5225 0.0000 Pd
0.4457 0.0000 0.2427 Pd
0.2030 0.7573 0.7573 Pd
0.4758 0.4775 0.4775 Pd
0.9983 0.0000 0.5225 Pd
0.4457 0.2427 0.0000 Pd
0.9412 0.3690 0.3690 Ce
0.5722 0.0000 0.6310 Ce
0.5722 0.6310 0.0000 Ce
0.0086 0.0000 0.0000 In

=====

No. 4
CeIn2Pd9, relaxed, DFT GGA-PBE; calculated formation energy = -6.97 eV/f.u.
1.0
-2.2217 -3.3455 -0.8060
-0.7504 -0.4653 3.9997
-9.9498 6.8649 -1.0682
Pd Ce In
9 1 2
direct
0.5000 0.5000 0.6663 Pd
0.5000 0.5000 0.3337 Pd
0.5000 0.0000 0.8302 Pd
0.5000 0.5000 0.0000 Pd
0.5000 0.0000 0.1698 Pd
0.0000 0.5000 0.5000 Pd
0.5000 0.0000 0.5000 Pd
0.0000 0.5000 0.8302 Pd
0.0000 0.5000 0.1698 Pd
0.0000 0.0000 0.0000 Ce
0.0000 0.0000 0.6603 In
0.0000 0.0000 0.3397 In

=====

No. 5
CePuInPd, relaxed, DFT GGA-PBE; calculated formation energy = -1.58 eV/f.u.
1.0
-1.3546 -1.2056 4.6961
-4.6690 -1.6355 0.9315
-0.7797 -4.8171 1.2366
Ce Pd In Pu
1 1 1 1
direct
0.7500 0.7500 0.7500 Ce
0.0000 0.0000 0.0000 Pd
0.2500 0.2500 0.2500 In
0.5000 0.5000 0.5000 Pu

=====

No. 6
Ce2In2PdRh, relaxed, DFT GGA-PBE; calculated formation energy = -4.26 eV/f.u.
1.0
-3.3853 0.7329 2.0791
2.8070 -3.8739 5.9363
5.3201 11.1169 4.7436
Rh Ce Pd In
3 6 3 6
direct
0.5000 0.4975 0.5017 Rh
0.0000 0.9968 0.3331 Rh
0.5000 0.0021 0.9987 Rh
0.5000 0.9076 0.4937 Ce
0.5000 0.4079 0.0012 Ce
0.5000 0.2991 0.7021 Ce
0.5000 0.7996 0.7970 Ce
0.5000 0.8009 0.2081 Ce
0.5000 0.2850 0.2976 Ce
0.0000 0.4982 0.1668 Pd
0.0000 0.5033 0.8335 Pd
0.0000 0.0022 0.6667 Pd
0.0000 0.2459 0.4989 In
0.0000 0.1239 0.1262 In
0.0000 0.6211 0.3742 In
0.0000 0.7501 0.0020 In
0.0000 0.1293 0.8735 In
0.0000 0.6298 0.6252 In

=====

No. 7
Ce2InPdRh5, relaxed, DFT GGA-PBE; calculated formation energy = -2.06 eV/f.u.
1.0
8.0255 0.0000 0.0000
0.0000 8.0255 0.0000
-4.0128 -4.0128 5.4300
Ce Rh Pd In
4 10 2 2
direct
0.6377 0.1377 0.0000 Ce
0.3623 0.8623 0.0000 Ce
0.8623 0.6377 0.0000 Ce
0.1377 0.3623 0.0000 Ce
0.5000 0.5000 0.0000 Rh
0.5658 0.6612 0.7270 Rh
0.4342 0.3388 0.2730 Rh
0.9342 0.4342 0.2730 Rh
0.0000 0.0000 0.0000 Rh
0.8388 0.9342 0.2730 Rh
0.0658 0.5658 0.7270 Rh
0.1612 0.0658 0.7270 Rh
0.3388 0.8388 0.2730 Rh
0.6612 0.1612 0.7270 Rh
0.2500 0.7500 0.5000 Pd
0.7500 0.2500 0.5000 Pd
0.2500 0.2500 0.5000 In
0.7500 0.7500 0.5000 In

=====

No. 8
CeScInPd, relaxed, DFT GGA-PBE; calculated formation energy = -1.79 eV/f.u.
1.0
5.0990 0.0000 0.0000
2.5495 4.4159 0.0000
2.5495 1.4720 4.1633
Ce Sc In Pd
1 1 1 1
direct
0.5000 0.5000 0.5000 Ce
0.0000 0.0000 0.0000 Sc
0.2500 0.2500 0.2500 In
0.7500 0.7500 0.7500 Pd

=====

No. 9
CeInSi2Pd5, relaxed, DFT GGA-PBE; ΔE_f (raw) = -48.58 kJ per mole of atoms
1.0
-1.4739 -3.7974 -0.1192
3.1804 -1.3031 2.1896
-5.5827 1.8773 9.2262
Pd Ce Si In
5 1 2 1
direct
0.0000 0.5000 0.8257 Pd
0.0000 0.5000 0.1743 Pd
0.5000 0.0000 0.8257 Pd
0.5000 0.5000 0.5000 Pd
0.5000 0.0000 0.1743 Pd
0.0000 0.0000 0.5000 Ce
0.5000 0.5000 0.2851 Si
0.5000 0.5000 0.7149 Si
0.0000 0.0000 0.0000 In

=====

No. 10
CeInSnPd, relaxed, DFT GGA-PBE; calculated formation energy = -1.77 eV/f.u.
1.0
-4.6327 -2.0019 -0.7202
-1.2525 -4.4011 2.2473
-3.3800 -0.0420 3.8161
In Pd Sn Ce
1 1 1 1
direct
0.5000 0.5000 0.5000 In
0.7500 0.7500 0.7500 Pd
0.2500 0.2500 0.2500 Sn
0.0000 0.0000 0.0000 Ce

=====

No. 11
Ce2InSn3Pd4, relaxed, DFT GGA-PBE; calculated formation energy = -6.92 eV/f.u.
1.0
4.5683 0.0000 0.0000
0.0000 4.5683 0.0000
0.0000 0.0000 10.8384
Pd Ce Sn In
4 2 3 1
direct
0.0000 0.0000 0.0000 Pd
0.5000 0.0000 0.6339 Pd
0.5000 0.5000 0.0000 Pd
0.0000 0.5000 0.3661 Pd
0.0000 0.5000 0.7584 Ce
0.5000 0.0000 0.2416 Ce
0.0000 0.5000 0.1276 Sn
0.5000 0.0000 0.8724 Sn
0.0000 0.0000 0.5000 Sn
0.5000 0.5000 0.5000 In

=====

No. 12
TbCeInPd, relaxed, DFT GGA-PBE; calculated formation energy = -1.88 eV/f.u.
1.0
-1.6002 2.1718 -4.4934
-1.6965 -3.0369 -3.9201
-5.0852 -0.0455 -1.2675
Ce Tb In Pd
1 1 1 1
direct
0.7500 0.7500 0.7500 Ce
0.2500 0.2500 0.2500 Tb
0.5000 0.5000 0.5000 In
0.0000 0.0000 0.0000 Pd

=====

No. 13
CeTlInPd, relaxed, DFT GGA-PBE; calculated formation energy = -1.55 eV/f.u.
1.0
-0.6766 5.0630 0.0448
-4.6173 1.9682 -0.9485
-2.6673 2.1871 3.7677
In Ce Pd Tl
1 1 1 1
direct
0.2500 0.2500 0.2500 In
0.7500 0.7500 0.7500 Ce
0.5000 0.5000 0.5000 Pd
0.0000 0.0000 0.0000 Tl

=====

No. 14
CeTmInPd, relaxed, DFT GGA-PBE; calculated formation energy = -1.94 eV/f.u.
1.0
-2.0692 4.3883 -1.8659
-2.4403 -0.0235 -4.5897
-5.1642 0.5583 -0.2008
In Ce Tm Pd
1 1 1 1
direct
0.7500 0.7500 0.7500 In
0.5000 0.5000 0.5000 Ce
0.0000 0.0000 0.0000 Tm
0.2500 0.2500 0.2500 Pd

=====

No. 15
CeZn2InPd5, relaxed, DFT GGA-PBE; calculated formation energy = -4.25 eV/f.u.
1.0
4.1211 0.0000 0.0000
0.0000 4.1211 0.0000
0.0000 0.0000 9.5629
Pd Zn Ce In
5 2 1 1
direct
0.5000 0.5000 0.5000 Pd
0.5000 0.0000 0.2844 Pd
0.0000 0.5000 0.2844 Pd
0.0000 0.5000 0.7156 Pd
0.5000 0.0000 0.7156 Pd
0.5000 0.5000 0.1266 Zn
0.5000 0.5000 0.8734 Zn
0.0000 0.0000 0.5000 Ce
0.0000 0.0000 0.0000 In

=====

No. 16
Ce2Zn2InPd5, relaxed, DFT GGA-PBE; calculated formation energy = -5.89 eV/f.u.
1.0
3.8103 0.0000 0.0000
0.0000 9.9482 0.0000
0.0000 0.0000 9.9482
Zn Pd Ce In
4 10 4 2
direct
0.0000 0.1190 0.6190 Zn
0.0000 0.3810 0.1190 Zn
0.0000 0.6190 0.8810 Zn
0.0000 0.8810 0.3810 Zn
0.5000 0.2094 0.0664 Pd
0.5000 0.7906 0.9336 Pd
0.5000 0.2906 0.5664 Pd
0.5000 0.0000 0.5000 Pd
0.5000 0.9336 0.2094 Pd
0.5000 0.0664 0.7906 Pd
0.5000 0.5000 0.0000 Pd
0.5000 0.7094 0.4336 Pd
0.5000 0.5664 0.7094 Pd
0.5000 0.4336 0.2906 Pd
0.0000 0.8221 0.6779 Ce
0.0000 0.6779 0.1779 Ce
0.0000 0.3221 0.8221 Ce
0.0000 0.1779 0.3221 Ce
0.0000 0.5000 0.5000 In
0.0000 0.0000 0.0000 In

=====

No. 17
CePmIn4, relaxed, DFT GGA-PBE; energy above the lowest structure with this stoichiometry = 2 meV per atom; calculated formation energy = -2.40 eV/f.u.
1.0
-3.9428 3.0163 0.5837
3.6426 -0.0675 3.4586
3.2753 8.3279 0.3772
In Ce Pm
4 1 1
direct
0.4090 0.0716 0.7568 In
0.0963 0.4259 0.7368 In
0.9057 0.5682 0.2600 In
0.5942 0.9236 0.2389 In
0.5013 0.4973 0.9981 Ce
0.0013 0.9973 0.4981 Pm

=====

No. 18
CePm4In4, relaxed, DFT GGA-PBE; calculated formation energy = -1.07 eV/f.u.
1.0
7.2590 0.0000 0.0000
0.0000 7.2590 0.0000
0.0000 0.0000 10.9744
In Pm Ce
8 8 2
direct
0.5000 0.7764 0.7806 In
0.7764 0.5000 0.2194 In
0.0000 0.7236 0.7194 In
0.2764 0.0000 0.2806 In
0.5000 0.2236 0.7806 In
0.7236 0.0000 0.2806 In
0.0000 0.2764 0.7194 In
0.2236 0.5000 0.2194 In
0.0000 0.2738 0.4214 Pm
0.2738 0.0000 0.5786 Pm
0.5000 0.7738 0.0786 Pm
0.5000 0.2262 0.0786 Pm
0.7262 0.0000 0.5786 Pm
0.7738 0.5000 0.9214 Pm
0.0000 0.7262 0.4214 Pm
0.2262 0.5000 0.9214 Pm
0.0000 0.0000 0.0000 Ce
0.5000 0.5000 0.5000 Ce

=====

No. 19
CePmIn, relaxed, DFT GGA-PBE; energy above the lowest structure with this stoichiometry = 97 meV per atom; calculated formation energy = -0.58 eV/f.u.
1.0
-0.5539 0.8947 4.0151
3.9373 -1.0580 0.7790
-0.2479 4.8231 -3.2544
In Ce Pm
1 1 1
direct
0.9497 0.9497 0.8995 In
0.6084 0.6084 0.2168 Ce
0.2919 0.2919 0.5838 Pm

=====

No. 20
CePmIn6, relaxed, DFT GGA-PBE; energy above the lowest structure with this stoichiometry = 0 meV per atom; calculated formation energy = -3.55 eV/f.u.
1.0
-1.1763 1.7669 4.1974
-2.3369 -3.9550 1.0100
7.8169 -3.6654 3.7336
In Ce Pm
6 1 1
direct
0.5000 0.5000 0.5000 In
0.5000 0.0000 0.7502 In
0.5000 0.5000 0.0000 In
0.0000 0.5000 0.7502 In
0.5000 0.0000 0.2498 In
0.0000 0.5000 0.2498 In
0.0000 0.0000 0.0000 Ce
0.0000 0.0000 0.5000 Pm

=====

No. 21
CePmIn6, relaxed, DFT GGA-PBE; energy above the lowest structure with this stoichiometry = 54 meV per atom; calculated formation energy = -3.12 eV/f.u.
1.0
5.2518 0.0000 0.0000
0.0000 6.7702 -0.2183
0.0000 -3.1932 5.9738
In Ce Pm
6 1 1
direct
0.0000 0.5913 0.9322 In
0.0000 0.0678 0.4087 In
0.5000 0.9084 0.5673 In
0.5000 0.9089 0.0911 In
0.5000 0.4327 0.0916 In
0.0000 0.5907 0.4093 In
0.5000 0.4164 0.5836 Ce
0.0000 0.0835 0.9165 Pm

=====

No. 22
CePmIn, relaxed, DFT GGA-PBE; energy above the lowest structure with this stoichiometry = 0 meV per atom; calculated formation energy = -0.87 eV/f.u.
1.0
-2.0676 -1.3239 2.4928
4.2511 -2.5838 2.1537
2.7133 7.7037 3.8866
Ce Pm In
2 2 2
direct
0.7637 0.2500 0.5274 Ce
0.2363 0.7500 0.4726 Ce
0.4357 0.2500 0.8713 Pm
0.5643 0.7500 0.1287 Pm
0.1062 0.2500 0.2124 In
0.8938 0.7500 0.7876 In

=====

No. 23
CePmIn4, relaxed, DFT GGA-PBE; energy above the lowest structure with this stoichiometry = 39 meV per atom; calculated formation energy = -2.17 eV/f.u.
1.0
-5.2398 2.0677 2.2971
-5.1810 -3.0086 -1.0549
-2.7405 -3.0148 4.5175
In Ce Pm
4 1 1
direct
0.1254 0.6249 0.6249 In
0.6249 0.6249 0.6249 In
0.6249 0.1254 0.6249 In
0.6249 0.6249 0.1254 In
0.2500 0.2500 0.2500 Ce
0.0000 0.0000 0.0000 Pm

=====

| no. | spin magnetization (μB/atom) |
| --- | --- |
| 1 | 0.092 |
| 2 | 0.195 |
| 3 | 0.171 |
| 4 | 0.000 |
| 5 | 1.749 |
| 6 | 0.096 |
| 7 | 0.000 |
| 8 | 0.164 |
| 9 | 0.129 |
| 10 | 0.230 |
| 11 | 0.188 |
| 12 | 0.175 |
| 13 | 0.182 |
| 14 | 0.162 |
| 15 | 0.018 |
| 16 | 0.174 |
| 17 | 0.128 |
| 18 | 0.149 |
| 19 | 0.241 |
| 20 | 0.084 |
| 21 | 0.104 |
| 22 | 0.075 |
| 23 | 0.198 |